[1]
Material: ReTcAs
Method: DFT, GGA-PBE
State: optimized geometry

The structure in CIF format:
```
data_ReTcAs
_cell_length_a 2.9686
_cell_length_b 2.9686
_cell_length_c 9.9686
_cell_angle_alpha 90.00
_cell_angle_beta 90.00
_cell_angle_gamma 90.00
_space_group_name_H-M_alt 'I 4 m m'
_space_group_IT_number 107
_space_group_name_Hall 'I 4 -2'
loop_
_atom_site_label
_atom_site_type_symbol
_atom_site_fract_x
_atom_site_fract_y
_atom_site_fract_z
_atom_site_occupancy
Re1 Re 0.0000 0.0000 0.0000 1
Tc1 Tc 0.0000 0.0000 0.6759 1
As1 As 0.0000 0.0000 0.3372 1
```

Density, g/cm³: 13.58
ΔE_f, eV/atom: 0.0597
E above lowest polymorph, meV/atom: 0.0


[2]
Material: ReTcAs2
Method: DFT, GGA-PBE
State: optimized geometry

The structure in CIF format:
```
data_ReTcAs2
_cell_length_a 3.0638
_cell_length_b 5.1347
_cell_length_c 8.0496
_cell_angle_alpha 90.00
_cell_angle_beta 90.00
_cell_angle_gamma 90.00
_space_group_name_H-M_alt 'I m m m'
_space_group_IT_number 71
_space_group_name_Hall '-I 2 2'
loop_
_atom_site_label
_atom_site_type_symbol
_atom_site_fract_x
_atom_site_fract_y
_atom_site_fract_z
_atom_site_occupancy
Re1 Re 0.0000 0.0000 0.0000 1
Tc1 Tc 0.0000 0.0000 0.5000 1
As1 As 0.0000 0.5000 0.2497 1
```

Density, g/cm³: 11.38
ΔE_f, eV/atom: 0.5182
E above lowest polymorph, meV/atom: 512.0


[3]
Material: ReTcAs2
Method: DFT, GGA-PBE
State: optimized geometry

The structure in CIF format:
```
data_ReTcAs2
_cell_length_a 3.0305
_cell_length_b 4.0360
_cell_length_c 5.1899
_cell_angle_alpha 90.00
_cell_angle_beta 90.00
_cell_angle_gamma 90.00
_space_group_name_H-M_alt 'P m m m'
_space_group_IT_number 47
loop_
_space_group_symop_operation_xyz
'x,y,z'
'-x,-y,-z'
'-x,-y,z'
'x,y,-z'
'x,-y,-z'
'-x,y,z'
'-x,y,-z'
'x,-y,z'
loop_
_atom_site_label
_atom_site_type_symbol
_atom_site_fract_x
_atom_site_fract_y
_atom_site_fract_z
_atom_site_occupancy
Re1 Re 0.0000 0.0000 0.0000 1
Tc1 Tc 0.5000 0.0000 0.5000 1
As1 As 0.0000 0.5000 0.5000 1
As2 As 0.5000 0.5000 0.0000 1
```

Density, g/cm³: 11.35
ΔE_f, eV/atom: 0.5175
E above lowest polymorph, meV/atom: 511.3


[4]
Material: ReTc2As8
Method: DFT, GGA-PBE
State: optimized geometry

The structure in CIF format:
```
data_ReTc2As8
_cell_length_a 15.5163
_cell_length_b 4.2736
_cell_length_c 6.3080
_cell_angle_alpha 90.00
_cell_angle_beta 112.95
_cell_angle_gamma 90.00
_space_group_name_H-M_alt 'C 1 2/m 1'
_space_group_IT_number 12
loop_
_space_group_symop_operation_xyz
'x,y,z'
'-x,-y,-z'
'-x,y,-z'
'x,-y,z'
'x+1/2,y+1/2,z'
'-x+1/2,-y+1/2,-z'
'-x+1/2,y+1/2,-z'
'x+1/2,-y+1/2,z'
loop_
_atom_site_label
_atom_site_type_symbol
_atom_site_fract_x
_atom_site_fract_y
_atom_site_fract_z
_atom_site_occupancy
Re1 Re 0.0000 0.0000 0.0000 1
Tc1 Tc 0.1742 0.5000 0.6831 1
As1 As 0.0636 0.5000 0.8957 1
As2 As 0.0735 0.0000 0.4415 1
As3 As 0.1740 0.0000 0.9610 1
As4 As 0.2206 0.5000 0.3353 1
```

Density, g/cm³: 8.46
ΔE_f, eV/atom: 0.0573


[5]
Material: ReTc2As
Method: DFT, GGA-PBE
State: optimized geometry

The structure in CIF format:
```
data_ReTc2As
_cell_length_a 6.1908
_cell_length_b 6.1908
_cell_length_c 6.1908
_cell_angle_alpha 90.00
_cell_angle_beta 90.00
_cell_angle_gamma 90.00
_space_group_name_H-M_alt 'F -4 3 m'
_space_group_IT_number 216
_space_group_name_Hall 'F -4 2 3'
loop_
_atom_site_label
_atom_site_type_symbol
_atom_site_fract_x
_atom_site_fract_y
_atom_site_fract_z
_atom_site_occupancy
Re1 Re 0.0000 0.0000 0.0000 1
Tc1 Tc 0.0000 0.0000 0.5000 1
Tc2 Tc 0.2500 0.2500 0.7500 1
As1 As 0.2500 0.2500 0.2500 1
```

Density, g/cm³: 12.80
ΔE_f, eV/atom: 0.3041


[6]
Material: ReTcAs
Method: DFT, GGA-PBE
State: optimized geometry

The structure in CIF format:
```
data_ReTcAs
_cell_length_a 2.9701
_cell_length_b 4.8064
_cell_length_c 13.0755
_cell_angle_alpha 90.00
_cell_angle_beta 90.00
_cell_angle_gamma 90.00
_space_group_name_H-M_alt 'F m m 2'
_space_group_IT_number 42
_space_group_name_Hall 'F 2 -2'
loop_
_atom_site_label
_atom_site_type_symbol
_atom_site_fract_x
_atom_site_fract_y
_atom_site_fract_z
_atom_site_occupancy
Re1 Re 0.0000 0.0000 0.0000 1
Tc1 Tc 0.0000 0.0000 0.6619 1
As1 As 0.0000 0.0000 0.3291 1
```

Density, g/cm³: 12.78
ΔE_f, eV/atom: 0.5078
E above lowest polymorph, meV/atom: 448.1


[7]
Material: ReTcAs2
Method: DFT, GGA-PBE
State: optimized geometry

The structure in CIF format:
```
data_ReTcAs2
_cell_length_a 4.3524
_cell_length_b 4.3524
_cell_length_c 3.0912
_cell_angle_alpha 90.00
_cell_angle_beta 90.00
_cell_angle_gamma 90.00
_space_group_name_H-M_alt 'P 4/m m m'
_space_group_IT_number 123
_space_group_name_Hall '-P 4 2'
loop_
_atom_site_label
_atom_site_type_symbol
_atom_site_fract_x
_atom_site_fract_y
_atom_site_fract_z
_atom_site_occupancy
Re1 Re 0.0000 0.0000 0.0000 1
Tc1 Tc 0.5000 0.5000 0.0000 1
As1 As 0.0000 0.5000 0.5000 1
```

Density, g/cm³: 12.31
ΔE_f, eV/atom: 0.1278
E above lowest polymorph, meV/atom: 121.6


[8]
Material: ReTc2As
Method: DFT, GGA-PBE
State: optimized geometry

The structure in CIF format:
```
data_ReTc2As
_cell_length_a 2.9719
_cell_length_b 2.9719
_cell_length_c 6.6058
_cell_angle_alpha 90.00
_cell_angle_beta 90.00
_cell_angle_gamma 90.00
_space_group_name_H-M_alt 'P 4 m m'
_space_group_IT_number 99
loop_
_space_group_symop_operation_xyz
'x,y,z'
'-y,x,z'
'-x,-y,z'
'y,-x,z'
'-x,y,z'
'y,x,z'
'x,-y,z'
'-y,-x,z'
loop_
_atom_site_label
_atom_site_type_symbol
_atom_site_fract_x
_atom_site_fract_y
_atom_site_fract_z
_atom_site_occupancy
Re1 Re 0.0000 0.0000 0.0000 1
Tc1 Tc 0.0000 0.0000 0.5242 1
Tc2 Tc 0.5000 0.5000 0.2596 1
As1 As 0.5000 0.5000 0.7553 1
```

Density, g/cm³: 13.01
ΔE_f, eV/atom: 0.0593


[9]
Material: ReTc2As
Method: DFT, GGA-PBE
State: optimized geometry

The structure in CIF format:
```
data_ReTc2As
_cell_length_a 2.8295
_cell_length_b 4.0171
_cell_length_c 5.3371
_cell_angle_alpha 90.00
_cell_angle_beta 102.28
_cell_angle_gamma 90.00
_space_group_name_H-M_alt 'P 1 2/m 1'
_space_group_IT_number 10
loop_
_space_group_symop_operation_xyz
'x,y,z'
'-x,-y,-z'
'-x,y,-z'
'x,-y,z'
loop_
_atom_site_label
_atom_site_type_symbol
_atom_site_fract_x
_atom_site_fract_y
_atom_site_fract_z
_atom_site_occupancy
Re1 Re 0.0000 0.0000 0.0000 1
Tc1 Tc 0.3859 0.5000 0.7452 1
As1 As 0.0000 0.0000 0.5000 1
```

Density, g/cm³: 12.81
ΔE_f, eV/atom: 0.1469


[10]
Material: ReTcAs2
Method: DFT, GGA-PBE
State: optimized geometry

The structure in CIF format:
```
data_ReTcAs2
_cell_length_a 4.2748
_cell_length_b 3.0099
_cell_length_c 5.1852
_cell_angle_alpha 90.00
_cell_angle_beta 114.18
_cell_angle_gamma 90.00
_space_group_name_H-M_alt 'P 1 2/m 1'
_space_group_IT_number 10
loop_
_space_group_symop_operation_xyz
'x,y,z'
'-x,-y,-z'
'-x,y,-z'
'x,-y,z'
loop_
_atom_site_label
_atom_site_type_symbol
_atom_site_fract_x
_atom_site_fract_y
_atom_site_fract_z
_atom_site_occupancy
Re1 Re 0.0000 0.0000 0.0000 1
Tc1 Tc 0.0000 0.5000 0.5000 1
As1 As 0.5000 0.0000 0.5000 1
As2 As 0.5000 0.5000 0.0000 1
```

Density, g/cm³: 11.84
ΔE_f, eV/atom: 0.2303
E above lowest polymorph, meV/atom: 224.1


[11]
Material: ReTcAs2
Method: DFT, GGA-PBE
State: optimized geometry

The structure in CIF format:
```
data_ReTcAs2
_cell_length_a 8.7744
_cell_length_b 3.1211
_cell_length_c 4.6519
_cell_angle_alpha 90.00
_cell_angle_beta 107.42
_cell_angle_gamma 90.00
_space_group_name_H-M_alt 'C 1 m 1'
_space_group_IT_number 8
loop_
_space_group_symop_operation_xyz
'x,y,z'
'x,-y,z'
'x+1/2,y+1/2,z'
'x+1/2,-y+1/2,z'
loop_
_atom_site_label
_atom_site_type_symbol
_atom_site_fract_x
_atom_site_fract_y
_atom_site_fract_z
_atom_site_occupancy
Re1 Re 0.0000 0.0000 0.0000 1
Tc1 Tc 0.2557 0.0000 0.5938 1
As1 As 0.0132 0.5000 0.4691 1
As2 As 0.2411 0.5000 0.1201 1
```

Density, g/cm³: 11.86
ΔE_f, eV/atom: 0.0723
E above lowest polymorph, meV/atom: 66.1


[12]
Material: ReTc2As
Method: DFT, GGA-PBE
State: optimized geometry

The structure in CIF format:
```
data_ReTc2As
_cell_length_a 2.9069
_cell_length_b 4.0136
_cell_length_c 5.0954
_cell_angle_alpha 90.00
_cell_angle_beta 90.00
_cell_angle_gamma 90.00
_space_group_name_H-M_alt 'P m m m'
_space_group_IT_number 47
loop_
_space_group_symop_operation_xyz
'x,y,z'
'-x,-y,-z'
'-x,-y,z'
'x,y,-z'
'x,-y,-z'
'-x,y,z'
'-x,y,-z'
'x,-y,z'
loop_
_atom_site_label
_atom_site_type_symbol
_atom_site_fract_x
_atom_site_fract_y
_atom_site_fract_z
_atom_site_occupancy
Re1 Re 0.0000 0.0000 0.0000 1
Tc1 Tc 0.5000 0.5000 0.2513 1
As1 As 0.0000 0.0000 0.5000 1
```

Density, g/cm³: 12.77
ΔE_f, eV/atom: 0.1645